1.
ThZnInNi3 | PBE | optimized geometry

abc: 5.668 6.188 6.880
angles: 116.72 90.00 90.00
Fractional positions:
Ni: 0.500 0.310 0.000
In: 0.750 0.065 0.130
Ni: 0.750 0.841 0.682
Zn: 0.750 0.639 0.279
Zn: 0.250 0.361 0.721
Th: 0.250 0.682 0.364
Ni: 0.250 0.159 0.318
Th: 0.750 0.318 0.636
In: 0.250 0.935 0.870
Ni: 0.000 0.690 0.000
Ni: 0.000 0.310 0.000
Ni: 0.500 0.690 0.000

Computed properties:
Space-group type ... No. 63
Calculated total energy ... -4.87 eV per atom



2.
Ti4InNi | PBE | optimized geometry

abc: 5.220 5.987 7.497
angles: 101.62 110.36 89.98
Fractional positions:
Ti: 0.950 0.883 0.645
Ti: 0.695 0.383 0.645
Ti: 0.510 0.063 0.831
In: 0.909 0.750 0.000
Ni: 0.500 0.000 0.500
Ti: 0.490 0.937 0.169
Ti: 0.679 0.437 0.169
Ni: 0.000 0.500 0.500
In: 0.091 0.250 0.000
Ti: 0.305 0.617 0.355
Ti: 0.050 0.117 0.355
Ti: 0.321 0.563 0.831

Computed properties:
Space-group type ... No. 15
Calculated total energy ... -6.60 eV per atom